--- a ---
This record from the Alexandria database describes a relaxed structure of NaScW2O8. The functional is GGA+U.

Cell lengths 6.0488, 6.0488, 6.0488 Å; angles 106.64, 106.64, 115.30 degrees
Fractional positions:
W 0.5000 0.5000 0.0000
O 0.7554 0.0661 0.6893
O 0.3408 0.1336 0.7928
O 0.4519 0.6592 0.7928
W 0.7500 0.2500 0.5000
O 0.8664 0.6592 0.2072
O 0.3408 0.5481 0.2072
O 0.9339 0.2446 0.3107
Sc 0.2500 0.7500 0.5000
O 0.3768 0.0661 0.3107
O 0.9339 0.6232 0.6893
Na 0.0000 0.0000 0.0000

Output
- M_tot (μB per cell) = 0.00



--- b ---
This record from the Alexandria database describes a relaxed structure of NaScW2O8. The functional is GGA+U.

Cell lengths 5.8683, 5.1392, 10.1681 Å; angles 88.62, 90.00, 90.00 degrees
Fractional positions:
W 0.1732 0.2472 0.2409
O 0.3723 0.0990 0.8882
O 0.6283 0.8756 0.6426
Sc 0.6737 0.2500 0.0000
O 0.9059 0.4417 0.6681
O 0.0941 0.5583 0.3319
W 0.8268 0.7472 0.2409
O 0.1170 0.9374 0.1305
Na 0.3176 0.7500 0.5000
O 0.3717 0.3756 0.6426
O 0.6277 0.5990 0.8882
Na 0.6824 0.2500 0.5000
O 0.8830 0.4374 0.1305
O 0.1170 0.5626 0.8695
O 0.6277 0.9010 0.1118
O 0.8830 0.0626 0.8695
O 0.0941 0.9417 0.6681
O 0.3717 0.1244 0.3574
O 0.3723 0.4010 0.1118
Sc 0.3263 0.7500 0.0000
O 0.9059 0.0583 0.3319
O 0.6283 0.6244 0.3574
W 0.8268 0.7528 0.7591
W 0.1732 0.2528 0.7591

Output
- M_tot (μB per cell) = 0.00



The calculated energies rank the structures as follows, beginning with the most stable: b, a.